! FeTc2As GGA-PBE relaxed; values from VASP
&SYSTEM
  ibrav = 0, nat = 4, ntyp = 3
/
ATOMIC_SPECIES
Tc 98.00 Tc.upf
Fe 55.84 Fe.upf
As 74.92 As.upf
CELL_PARAMETERS angstrom
1.652 1.061 3.780
-0.501 3.951 1.510
-2.567 0.699 3.326
ATOMIC_POSITIONS crystal
Tc 0.750 0.750 0.750
Tc 0.250 0.250 0.250
Fe 0.000 0.000 0.000
As 0.500 0.500 0.500
! ΔE_f: 0.01 eV/atom

---

! InAg8 GGA-PBE relaxed; values from VASP
&SYSTEM
  ibrav = 0, nat = 9, ntyp = 2
/
ATOMIC_SPECIES
Ag 107.87 Ag.upf
In 114.82 In.upf
CELL_PARAMETERS angstrom
6.575 0.069 0.000
-5.224 3.993 0.000
-0.675 -2.031 6.217
ATOMIC_POSITIONS crystal
Ag 0.669 0.669 0.337
Ag 0.331 0.669 0.000
Ag 0.000 0.335 0.335
Ag 0.665 0.000 0.665
Ag 0.335 0.000 0.335
Ag 0.669 0.331 0.000
Ag 0.000 0.665 0.665
Ag 0.331 0.331 0.663
In 0.000 0.000 0.000
! ΔE_f: 0.00 eV/atom

---

! Mg2CdIr GGA-PBE relaxed; values from VASP
&SYSTEM
  ibrav = 0, nat = 4, ntyp = 3
/
ATOMIC_SPECIES
Ir 192.22 Ir.upf
Mg 24.30 Mg.upf
Cd 112.41 Cd.upf
CELL_PARAMETERS angstrom
4.399 0.000 0.000
0.000 4.400 0.000
0.000 0.000 3.600
ATOMIC_POSITIONS crystal
Ir 0.000 0.500 0.500
Mg 0.500 0.500 0.000
Mg 0.000 0.000 0.000
Cd 0.500 0.000 0.500
! ΔE_f: -0.19 eV/atom

---

! TiCuSnAu GGA-PBE relaxed; values from VASP
&SYSTEM
  ibrav = 0, nat = 4, ntyp = 4
/
ATOMIC_SPECIES
Au 196.97 Au.upf
Sn 118.71 Sn.upf
Cu 63.55 Cu.upf
Ti 47.87 Ti.upf
CELL_PARAMETERS angstrom
4.616 0.000 0.000
2.308 3.998 0.000
2.308 1.333 3.769
ATOMIC_POSITIONS crystal
Au 0.000 0.000 0.000
Sn 0.500 0.500 0.500
Cu 0.750 0.750 0.750
Ti 0.250 0.250 0.250
! ΔE_f: -0.12 eV/atom

---

! BiP4HO12 GGA-PBE relaxed; values from VASP
&SYSTEM
  ibrav = 0, nat = 36, ntyp = 4
/
ATOMIC_SPECIES
O 16.00 O.upf
P 30.97 P.upf
Bi 208.98 Bi.upf
H 1.01 H.upf
CELL_PARAMETERS angstrom
7.271 0.022 0.013
-2.473 8.429 0.009
-3.389 -2.563 7.924
ATOMIC_POSITIONS crystal
O 0.052 0.020 0.758
O 0.560 0.767 0.602
O 0.900 0.442 0.301
O 0.440 0.233 0.398
O 0.457 0.948 0.808
O 0.194 0.787 0.033
O 0.845 0.663 0.166
O 0.157 0.308 0.548
O 0.813 0.261 0.571
O 0.669 0.464 0.689
O 0.443 0.226 0.905
O 0.187 0.739 0.429
O 0.843 0.692 0.452
O 0.557 0.774 0.095
O 0.155 0.337 0.834
O 0.948 0.980 0.242
O 0.230 0.209 0.067
O 0.331 0.536 0.311
O 0.469 0.845 0.337
O 0.806 0.213 0.967
O 0.100 0.558 0.699
O 0.543 0.052 0.192
O 0.770 0.791 0.933
O 0.531 0.155 0.663
P 0.933 0.623 0.344
P 0.797 0.817 0.109
P 0.425 0.863 0.154
P 0.203 0.183 0.891
P 0.067 0.377 0.656
P 0.609 0.292 0.579
P 0.391 0.708 0.421
P 0.575 0.137 0.846
Bi 0.905 0.732 0.740
Bi 0.095 0.268 0.260
H 0.497 0.128 0.256
H 0.503 0.872 0.744
! E_tot: -123.43 eV/f.u.

---

! Hf2Co2Cu GGA-PBE relaxed; values from VASP
&SYSTEM
  ibrav = 0, nat = 10, ntyp = 3
/
ATOMIC_SPECIES
Cu 63.55 Cu.upf
Hf 178.49 Hf.upf
Co 58.93 Co.upf
CELL_PARAMETERS angstrom
7.339 0.000 0.000
0.000 7.339 0.000
0.000 0.000 2.978
ATOMIC_POSITIONS crystal
Cu 0.500 0.500 0.000
Cu 0.000 0.000 0.000
Hf 0.654 0.154 0.000
Hf 0.346 0.846 0.000
Hf 0.154 0.346 0.000
Hf 0.846 0.654 0.000
Co 0.861 0.361 0.500
Co 0.639 0.861 0.500
Co 0.139 0.639 0.500
Co 0.361 0.139 0.500
! ΔE_f: 0.01 eV/atom